[1]
Below is a relaxed K3BeAu crystal, with properties calculated at the PBE level.

Lattice parameters (Å, degrees): 6.3048 6.3048 6.3048 90.00 90.00 90.00
Atoms (fractional coordinates):
1 K 0.0000 0.5000 0.0000
2 Be 0.5000 0.5000 0.5000
3 K 0.0000 0.0000 0.5000
4 Au 0.0000 0.0000 0.0000
5 K 0.5000 0.0000 0.0000

formation enthalpy at 0 K = 0.491 eV/atom
space-group type = Pm-3m, No. 221
volume = 50.12 A^3/atom



[2]
Below is a relaxed PmTlCu crystal, with properties calculated at the PBE level.

Lattice parameters (Å, degrees): 3.4763 3.4763 6.3220 105.96 105.96 90.00
Atoms (fractional coordinates):
1 Pm 0.5999 0.5999 0.1998
2 Tl 0.3060 0.3060 0.6119
3 Cu 0.9442 0.9442 0.8883

formation enthalpy at 0 K = -0.084 eV/atom
space-group type = I4mm, No. 107
energy above the lowest structure with this stoichiometry = 0.52 eV per formula unit
volume = 23.46 A^3/atom



[3]
Below is a relaxed Re3Cl crystal, with properties calculated at the PBE level.

Lattice parameters (Å, degrees): 4.0641 2.8543 5.3883 74.33 90.00 90.00
Atoms (fractional coordinates):
1 Re 0.5000 0.1037 0.2522
2 Re 0.0000 0.5000 0.5000
3 Re 0.5000 0.8963 0.7478
4 Cl 0.0000 0.0000 0.0000

space-group type = P2/m, No. 10
energy above the lowest structure with this stoichiometry = 1.51 eV per formula unit
volume = 15.05 A^3/atom
formation energy from raw total energies = 0.80 eV per atom



Which value of volume does entry 3 give?
15.05 A^3/atom



Which of these has the highest volume?
K3BeAu



The lowest volume belongs to which entry?
Re3Cl